A plane-wave DFT calculation with PBE was carried out for a geometry-optimized Pm2Pr8Mg structure.

Cell: 5.744 7.807 17.468 Å, 90.00 90.00 90.00°
Space group Immm (No. 71)
Unique sites:
Pm1 0.000 0.000 0.195 (multiplicity 4)
Pr1 0.000 0.236 0.000 (multiplicity 4)
Pr2 0.000 0.281 0.366 (multiplicity 8)
Pr3 0.000 0.500 0.174 (multiplicity 4)
Mg1 0.000 0.000 0.500 (multiplicity 2)

Values from the calculation:
* DFT formation energy: 0.093 eV per atom
* ΔE to the lowest computed polymorph: 0.00 kcal/mol of atoms
* VASP energy: -4.3917 eV/atom
* magnetic moment: 0.00 Bohr magnetons per cell


A plane-wave DFT calculation with PBE was carried out for a geometry-optimized Pm2PrMg structure.

Cell: 8.012 8.012 8.012 Å, 90.00 90.00 90.00°
Space group Fm-3m (No. 225)
Unique sites:
Pm1 0.250 0.250 0.250 (multiplicity 8)
Pr1 0.000 0.000 0.000 (multiplicity 4)
Mg1 0.000 0.000 0.500 (multiplicity 4)

Values from the calculation:
* DFT formation energy: 0.063 eV per atom
* ΔE to the lowest computed polymorph: 2.39 kcal/mol of atoms
* VASP energy: -3.9057 eV/atom
* magnetic moment: 0.00 Bohr magnetons per cell


A plane-wave DFT calculation with PBE was carried out for a geometry-optimized PmPr9Mg2 structure.

Cell: 5.123 5.123 15.448 Å, 90.00 90.00 90.00°
Space group P4/mmm (No. 123)
Unique sites:
Pm1 0.000 0.000 0.000 (multiplicity 1)
Pr1 0.000 0.500 0.171 (multiplicity 4)
Pr2 0.000 0.500 0.500 (multiplicity 2)
Pr3 0.500 0.500 0.000 (multiplicity 1)
Pr4 0.500 0.500 0.336 (multiplicity 2)
Mg1 0.000 0.000 0.337 (multiplicity 2)

Values from the calculation:
* DFT formation energy: -0.003 eV per atom
* VASP energy: -4.2489 eV/atom
* magnetic moment: 0.00 Bohr magnetons per cell


A plane-wave DFT calculation with PBE was carried out for a geometry-optimized Pm5Pr3Mg structure.

Cell: 11.477 8.280 13.770 Å, 90.00 91.17 90.00°
Space group C2/m (No. 12)
Unique sites:
Pm1 0.000 0.173 0.000 (multiplicity 4)
Pm2 0.003 0.000 0.255 (multiplicity 4)
Pm3 0.241 0.277 0.665 (multiplicity 8)
Pm4 0.247 0.500 0.126 (multiplicity 4)
Pr1 0.000 0.500 0.000 (multiplicity 2)
Pr2 0.000 0.500 0.500 (multiplicity 2)
Pr3 0.135 0.000 0.509 (multiplicity 4)
Pr4 0.242 0.500 0.881 (multiplicity 4)
Mg1 0.007 0.500 0.253 (multiplicity 4)

Values from the calculation:
* DFT formation energy: 0.333 eV per atom
* VASP energy: -4.0771 eV/atom
* magnetic moment: 0.00 Bohr magnetons per cell


A plane-wave DFT calculation with PBE was carried out for a geometry-optimized Pm15Pr4Mg structure.

Cell: 5.153 5.153 25.785 Å, 90.00 90.00 90.00°
Space group P4/mmm (No. 123)
Unique sites:
Pm1 0.000 0.000 0.000 (multiplicity 1)
Pm2 0.000 0.000 0.195 (multiplicity 2)
Pm3 0.000 0.000 0.398 (multiplicity 2)
Pm4 0.000 0.500 0.096 (multiplicity 4)
Pm5 0.000 0.500 0.298 (multiplicity 4)
Pm6 0.000 0.500 0.500 (multiplicity 2)
Pr1 0.500 0.500 0.196 (multiplicity 2)
Pr2 0.500 0.500 0.399 (multiplicity 2)
Mg1 0.500 0.500 0.000 (multiplicity 1)

Values from the calculation:
* DFT formation energy: 0.013 eV per atom
* VASP energy: -4.5853 eV/atom
* magnetic moment: 0.00 Bohr magnetons per cell


A plane-wave DFT calculation with PBE was carried out for a geometry-optimized PmPr5Mg3 structure.

Cell: 9.7156 9.7156 7.1330 Å, 90.00 90.00 120.00°
Space group P6_3/mcm (No. 193)
Unique sites:
Pm1 0.0000 0.0000 0.0000 (multiplicity 2)
Pr1 0.0000 0.3332 0.2500 (multiplicity 6)
Pr2 0.3333 0.6667 0.0000 (multiplicity 4)
Mg1 0.0000 0.3315 0.7500 (multiplicity 6)

Values from the calculation:
* DFT formation energy: -0.001 eV per atom
* VASP energy: -3.7157 eV/atom
* magnetic moment: 0.00 Bohr magnetons per cell


A plane-wave DFT calculation with PBE was carried out for a geometry-optimized Pm12PrMg3 structure.

Cell: 5.048 5.048 20.305 Å, 90.00 90.00 90.00°
Space group P4/mmm (No. 123)
Unique sites:
Pm1 0.000 0.000 0.000 (multiplicity 1)
Pm2 0.000 0.000 0.245 (multiplicity 2)
Pm3 0.000 0.000 0.500 (multiplicity 1)
Pm4 0.000 0.500 0.123 (multiplicity 4)
Pm5 0.000 0.500 0.370 (multiplicity 4)
Pr1 0.500 0.500 0.500 (multiplicity 1)
Mg1 0.500 0.500 0.000 (multiplicity 1)
Mg2 0.500 0.500 0.245 (multiplicity 2)

Values from the calculation:
* DFT formation energy: 0.010 eV per atom
* VASP energy: -4.1507 eV/atom
* magnetic moment: 0.00 Bohr magnetons per cell


A plane-wave DFT calculation with PBE was carried out for a geometry-optimized Pm2PrMg structure.

Cell: 3.761 3.761 9.096 Å, 90.00 90.00 90.00°
Space group P4/mmm (No. 123)
Unique sites:
Pm1 0.000 0.000 0.223 (multiplicity 2)
Pr1 0.500 0.500 0.500 (multiplicity 1)
Mg1 0.500 0.500 0.000 (multiplicity 1)

Values from the calculation:
* DFT formation energy: -0.041 eV per atom
* ΔE to the lowest computed polymorph: 0.00 kcal/mol of atoms
* VASP energy: -4.0095 eV/atom
* magnetic moment: 0.00 Bohr magnetons per cell